DFT (GGA-PBE) results for a relaxed structure of NbCuNi.

a = 2.7432 Å, b = 3.7001 Å, c = 8.0620 Å
α = 90.00°, β = 90.00°, γ = 90.00°
Fractional coordinates of all 6 atoms:
Nb: 0.0000 0.0000 0.8203
Nb: 0.5000 0.5000 0.3203
Cu: 0.0000 0.0000 0.1447
Cu: 0.5000 0.5000 0.6447
Ni: 0.0000 0.0000 0.4901
Ni: 0.5000 0.5000 0.9901

Computed properties:
The relative energy among the computed polymorphs is 23 meV/atom. Its crystal system is orthorhombic. The total moment is 0.00 Bohr magnetons per cell. As for the energy relative to the elements: -0.088 eV/atom. Its raw total energy is -6.737 eV/atom. Its symmetry is Imm2. For the density, the calculation gives 8.7 Mg/m³.